Computed, not measured: IrRu2Pt after structural relaxation at the GGA-PBE level of DFT.

abc: 2.725 2.725 7.803
angles: 90.00 90.00 90.00
Fractional positions:
Ru (0.500, 0.500, 0.248)
Pt (0.500, 0.500, 0.753)
Ir (0.000, 0.000, 0.489)
Ru (0.000, 0.000, 0.009)

* formation enthalpy at 0 K: 15 meV/atom
* total magnetization: 0.0 μB per formula unit
* D(E_F): 4.98 states/eV per cell
* offset from the most stable computed form: 0.021 eV/atom



Computed, not measured: IrRu2Pt8 after structural relaxation at the GGA-PBE level of DFT.

abc: 3.924 7.724 7.232
angles: 122.28 105.74 90.00
Fractional positions:
Ru (0.168, 0.668, 0.336)
Pt (0.660, 0.421, 0.320)
Ru (0.832, 0.332, 0.664)
Pt (0.660, 0.900, 0.320)
Pt (0.340, 0.579, 0.680)
Pt (0.833, 0.833, 0.667)
Pt (0.340, 0.100, 0.680)
Pt (0.000, 0.271, 0.000)
Pt (0.000, 0.729, 0.000)
Ir (0.500, 0.000, 0.000)
Pt (0.167, 0.167, 0.333)

* formation enthalpy at 0 K: 120 meV/atom
* total magnetization: 0.0 μB per formula unit
* D(E_F): 16.50 states/eV per cell